Compound: MnV2PbO8
Source: Alexandria
Functional: PBE+U
Structure: optimized geometry

Cell: 5.315 5.315 6.957 Å, 90.00 90.00 120.00°
Atoms (fractional coordinates):
Mn (0.000, 0.000, 0.000)
V (0.333, 0.667, 0.234)
V (0.667, 0.333, 0.766)
Pb (0.000, 0.000, 0.500)
O (0.066, 0.312, 0.167)
O (0.246, 0.934, 0.167)
O (0.312, 0.246, 0.833)
O (0.333, 0.667, 0.476)
O (0.667, 0.333, 0.524)
O (0.688, 0.754, 0.167)
O (0.754, 0.066, 0.833)
O (0.934, 0.688, 0.833)

Results
DFT total energy, eV/cell: -84.83
Crystal system: trigonal